Density functional theory data (PBE with a Hubbard U) for a geometry-optimized Zn3FeO structure.

Calculated values
The energy above the most stable polymorph in this dataset comes out at 0.00 eV/f.u. As for the symmetry: Pm-3m. Its density of states at the Fermi level is 7.65 states/eV/cell. As for the crystal system: cubic. The value obtained for the total magnetization is 2.43 μB per cell. The electronic total energy is -12.93 eV for the cell shown.

a = 4.193 Å, b = 4.193 Å, c = 4.193 Å
α = 90.00°, β = 90.00°, γ = 90.00°
Atoms (fractional coordinates):
1 Zn 0.000 0.000 0.500
2 Zn 0.000 0.500 0.000
3 Zn 0.500 0.000 0.000
4 Fe 0.500 0.500 0.500
5 O 0.000 0.000 0.000